Here is a relaxed SmY2Al6 crystal from the Alexandria database. Energies are from PBE-GGA.

Calculated values
formation enthalpy at 0 K	-0.4961	eV/atom
V	21.37	Å³/atom
magnetization	0.0000	μB/atom

Cell: 3.5378 7.9226 7.9226 Å, 120.00 90.00 90.00°
Closest atoms and distances in Å follow each position.
Positions (direct):
1 Al 0.5000 0.0000 0.6656  3 Al 2.62-2.65
2 Sm 0.0000 0.0000 0.0000  12 Al 3.19, 2 Sm 3.54
3 Y 0.0000 0.6667 0.3333  12 Al 3.17, 2 Y 3.54
4 Al 0.5000 0.0000 0.3344  3 Al 2.62-2.65
5 Y 0.0000 0.3333 0.6667  12 Al 3.17, 2 Y 3.54
6 Al 0.5000 0.3344 0.0000  3 Al 2.62-2.65
7 Al 0.5000 0.6656 0.0000  3 Al 2.62-2.65
8 Al 0.5000 0.3344 0.3344  3 Al 2.62-2.65
9 Al 0.5000 0.6656 0.6656  3 Al 2.62-2.65

***

Here is a relaxed BaPdPb crystal from the Alexandria database. Energies are from PBE-GGA.

Calculated values
formation enthalpy at 0 K	-0.5283	eV/atom
V	31.74	Å³/atom
magnetization	0.0000	μB/atom

Cell: 4.6811 4.8461 4.8461 Å, 120.00 90.00 90.00°
Closest atoms and distances in Å follow each position.
Positions (direct):
1 Pb 0.1668 0.3333 0.6667  3 Pd 2.80
2 Ba 0.6667 0.6667 0.3333  6 Pd 3.65, 6 Pb 3.65
3 Pd 0.1665 0.0000 0.0000  3 Pb 2.80

***

Here is a relaxed Ta2NiW crystal from the Alexandria database. Energies are from PBE-GGA.

Calculated values
formation enthalpy at 0 K	0.2522	eV/atom
V	16.28	Å³/atom
magnetization	0.0000	μB/atom

Cell: 9.5345 9.5345 9.5345 Å, 17.07 17.07 17.07°
Closest atoms and distances in Å follow each position.
Positions (direct):
1 Ni 0.7517 0.7517 0.7517  3 W 2.65, 3 Ta 2.72, 6 Ni 2.83
2 Ta 0.0079 0.0079 0.0079  3 Ni 2.72, 6 Ta 2.83
3 Ta 0.2481 0.2481 0.2481  9 Ta 2.83-3.09, 3 W 3.00
4 W 0.4923 0.4923 0.4923  3 Ni 2.65, 6 W 2.83

***

Here is a relaxed Cs3RhAu crystal from the Alexandria database. Energies are from PBE-GGA.

Calculated values
polymorph energy (0 for the lowest one)	0	meV/atom
formation enthalpy at 0 K	0.2729	eV/atom
V	45.78	Å³/atom
magnetization	0.0000	μB/atom

Cell: 6.1170 6.1170 6.1170 Å, 90.00 90.00 90.00°
Closest atoms and distances in Å follow each position.
Positions (direct):
1 Cs 0.0000 0.5000 0.0000  2 Rh 3.06
2 Rh 0.0000 0.0000 0.0000  6 Cs 3.06
3 Cs 0.5000 0.0000 0.0000  2 Rh 3.06
4 Au 0.5000 0.5000 0.5000  12 Cs 4.33
5 Cs 0.0000 0.0000 0.5000  2 Rh 3.06

***

Here is a relaxed K2NpSbTe4 crystal from the Alexandria database. Energies are from PBE-GGA.

Calculated values
V	37.12	Å³/atom
magnetization	0.4995	μB/atom
total DFT energy (no corrections)	-37.4	eV per cell

Cell: 4.5600 7.9565 8.5947 Å, 107.79 90.00 90.00°
Closest atoms and distances in Å follow each position.
Positions (direct):
1 Te 0.5000 0.7669 0.7933  2 Sb 3.13, 1 Np 3.16
2 Te 0.0000 0.7377 0.2076  1 Sb 3.13, 2 Np 3.15
3 Sb 0.0000 0.0000 0.0000  6 Te 3.13
4 K 0.0000 0.5000 0.5000  6 Te 3.58
5 Np 0.5000 0.5000 0.0000  6 Te 3.15-3.16
6 Te 0.0000 0.2623 0.7924  1 Sb 3.13, 2 Np 3.15
7 Te 0.5000 0.2331 0.2067  2 Sb 3.13, 1 Np 3.16
8 K 0.5000 0.0000 0.5000  6 Te 3.56

***

Here is a relaxed Ga3GeOs crystal from the Alexandria database. Energies are from PBE-GGA.

Calculated values
polymorph energy (0 for the lowest one)	962	meV/atom
formation enthalpy at 0 K	1.3197	eV/atom
V	21.75	Å³/atom
magnetization	0.3706	μB/atom

Cell: 4.7732 4.7732 4.7732 Å, 90.00 90.00 90.00°
Closest atoms and distances in Å follow each position.
Positions (direct):
1 Os 0.5000 0.5000 0.5000  12 Ga 3.38
2 Ge 0.0000 0.0000 0.0000  6 Ga 2.39
3 Ga 0.0000 0.5000 0.0000  2 Ge 2.39
4 Ga 0.0000 0.0000 0.5000  2 Ge 2.39
5 Ga 0.5000 0.0000 0.0000  2 Ge 2.39

***

Here is a relaxed Pr5In2Ir2Au crystal from the Alexandria database. Energies are from PBE-GGA.

Calculated values
formation enthalpy at 0 K	-0.5590	eV/atom
V	28.08	Å³/atom
magnetization	0.0000	μB/atom

Cell: 3.8259 12.1149 12.1149 Å, 90.00 90.00 90.00°
Closest atoms and distances in Å follow each position.
Positions (direct):
1 In 0.0000 0.8229 0.6771  1 Ir 3.21, 6 Pr 3.58-3.59
2 Au 0.0000 0.0000 0.0000  8 Pr 3.23
3 Pr 0.5000 0.4256 0.2981  2 Ir 2.84
4 Ir 0.0000 0.1354 0.6354  6 Pr 2.84-3.01
5 In 0.0000 0.3229 0.8229  1 Ir 3.21, 6 Pr 3.58-3.59
6 Pr 0.5000 0.0000 0.5000  4 Ir 3.01
7 Pr 0.5000 0.2019 0.0744  2 Ir 2.84
8 In 0.0000 0.6771 0.1771  1 Ir 3.21, 6 Pr 3.58-3.59
9 Au 0.0000 0.5000 0.5000  8 Pr 3.23
10 Pr 0.5000 0.9256 0.2019  2 Ir 2.84
11 Pr 0.5000 0.0744 0.7981  2 Ir 2.84
12 Ir 0.0000 0.3646 0.1354  6 Pr 2.84-3.01
13 Pr 0.5000 0.5744 0.7019  2 Ir 2.84
14 Pr 0.5000 0.5000 0.0000  4 Ir 3.01
15 Pr 0.5000 0.2981 0.5744  2 Ir 2.84
16 Ir 0.0000 0.6354 0.8646  6 Pr 2.84-3.01
17 Pr 0.5000 0.7019 0.4256  2 Ir 2.84
18 Pr 0.5000 0.7981 0.9256  2 Ir 2.84
19 Ir 0.0000 0.8646 0.3646  6 Pr 2.84-3.01
20 In 0.0000 0.1771 0.3229  1 Ir 3.21, 6 Pr 3.58-3.59

***

Here is a relaxed ScVCr2Si crystal from the Alexandria database. Energies are from PBE-GGA.

Calculated values
V	17.59	Å³/atom
magnetization	0.8772	μB/atom
total DFT energy (no corrections)	-37.1	eV per cell

Cell: 4.3703 4.6052 4.3703 Å, 90.00 90.00 90.00°
Closest atoms and distances in Å follow each position.
Positions (direct):
1 Cr 0.5000 0.0000 0.0000  2 V 2.19
2 Cr 0.0000 0.0000 0.5000  2 V 2.19
3 V 0.0000 0.0000 0.0000  4 Cr 2.19, 2 Si 2.30
4 Sc 0.5000 0.5000 0.5000  4 Si 3.09, 8 Cr 3.17
5 Si 0.0000 0.5000 0.0000  2 V 2.30

***

Here is a relaxed Nd2PS crystal from the Alexandria database. Energies are from PBE-GGA.

Calculated values
polymorph energy (0 for the lowest one)	104	meV/atom
V	25.23	Å³/atom
magnetization	0.0000	μB/atom

Cell: 4.0454 4.0454 7.4936 Å, 74.34 74.34 60.00°
Closest atoms and distances in Å follow each position.
Positions (direct):
1 P 0.6677 0.6677 0.9969  6 Nd 2.85-2.88
2 Nd 0.0778 0.0778 0.7666  3 P 2.85, 3 S 2.99
3 S 0.4987 0.4987 0.5040  6 Nd 2.99-3.03
4 Nd 0.2558 0.2558 0.2325  3 P 2.88, 3 S 3.03

***

Here is a relaxed Li3AlO crystal from the Alexandria database. Energies are from PBE-GGA.

Calculated values
polymorph energy (0 for the lowest one)	1456	meV/atom
V	24.40	Å³/atom
magnetization	0.3504	μB/atom

Cell: 4.9595 4.9595 4.9595 Å, 90.00 90.00 90.00°
Closest atoms and distances in Å follow each position.
Positions (direct):
1 Li 0.5000 0.0000 0.0000  2 Al 2.48
2 Al 0.0000 0.0000 0.0000  6 Li 2.48
3 Li 0.0000 0.5000 0.0000  2 Al 2.48
4 O 0.5000 0.5000 0.5000  12 Li 3.51
5 Li 0.0000 0.0000 0.5000  2 Al 2.48

***

Here is a relaxed Ni5Au3I12 crystal from the Alexandria database. Energies are from PBE-GGA.

Calculated values
V	31.62	Å³/atom
magnetization	0.1060	μB/atom
total DFT energy (no corrections)	-221.3	eV per cell

Cell: 14.8665 14.8665 14.8665 Å, 109.47 109.47 109.47°
Closest atoms and distances in Å follow each position.
Positions (direct):
1 Ni 0.8750 0.6250 0.7500  4 I 2.55
2 I 0.0370 0.8693 0.3612  2 Ni 2.55-2.67
3 I 0.8241 0.3323 0.9630  2 Ni 2.55-2.67
4 I 0.9919 0.6307 0.1677  2 Ni 2.55-2.67
5 I 0.8241 0.4919 0.3612  2 Ni 2.55-2.67
6 Ni 0.6250 0.8750 0.2500  4 I 2.55
7 I 0.5081 0.3323 0.8693  2 Ni 2.55-2.67
8 I 0.4630 0.1388 0.6307  2 Ni 2.55-2.67
9 I 0.8612 0.5370 0.8693  2 Ni 2.55-2.67
10 I 0.9630 0.1307 0.6388  2 Ni 2.55-2.67
11 I 0.6388 0.0081 0.1759  2 Ni 2.55-2.67
12 I 0.3693 0.0081 0.3323  2 Ni 2.55-2.67
13 I 0.6759 0.5370 0.1677  2 Ni 2.55-2.67
14 I 0.1307 0.1677 0.4919  2 Ni 2.55-2.67
15 Au 0.7500 0.8750 0.6250  4 I 2.94
16 I 0.6677 0.4919 0.6307  2 Ni 2.55-2.67
17 I 0.8693 0.8323 0.5081  2 Ni 2.55-2.67
18 I 0.8612 0.3241 0.4919  2 Ni 2.55-2.67
19 Au 0.1250 0.8750 0.7500  4 I 2.94
20 Ni 0.1250 0.3750 0.2500  4 I 2.55
21 I 0.1388 0.6759 0.5081  2 Ni 2.55-2.67
22 I 0.1677 0.1307 0.9919  2 Ni 2.55-2.67
23 I 0.3612 0.3693 0.0370  2 Ni 2.55-2.67
24 Au 0.6250 0.2500 0.3750  4 I 2.94
25 I 0.5370 0.8612 0.3693  2 Ni 2.55-2.67
26 I 0.9919 0.3612 0.3241  2 Ni 2.55-2.67
27 Ni 0.3750 0.1250 0.7500  4 I 2.55
28 I 0.1388 0.4630 0.1307  2 Ni 2.55-2.67
29 I 0.3323 0.8241 0.4630  2 Ni 2.55-2.67
30 Au 0.2500 0.1250 0.3750  4 I 2.94
31 I 0.5081 0.1759 0.1388  2 Ni 2.55-2.67
32 Ni 0.1250 0.7500 0.3750  4 I 2.55
33 Ni 0.2500 0.8750 0.1250  4 I 2.55
34 Ni 0.5000 0.0000 0.0000  6 I 2.67
35 Ni 0.5000 0.0000 0.5000  6 I 2.67
36 I 0.6307 0.6388 0.4630  2 Ni 2.55-2.67
37 I 0.1759 0.5081 0.6388  2 Ni 2.55-2.67
38 I 0.4919 0.8241 0.8612  2 Ni 2.55-2.67
39 I 0.8323 0.8693 0.0081  2 Ni 2.55-2.67
40 I 0.3693 0.3612 0.5370  2 Ni 2.55-2.67
41 I 0.6759 0.1388 0.0081  2 Ni 2.55-2.67
42 Ni 0.8750 0.2500 0.6250  4 I 2.55
43 I 0.3323 0.5081 0.3693  2 Ni 2.55-2.67
44 I 0.5370 0.6759 0.6677  2 Ni 2.55-2.67
45 I 0.8323 0.9630 0.3241  2 Ni 2.55-2.67
46 Ni 0.5000 0.5000 0.0000  6 I 2.67
47 I 0.4630 0.3241 0.3323  2 Ni 2.55-2.67
48 I 0.1677 0.0370 0.6759  2 Ni 2.55-2.67
49 Au 0.1250 0.2500 0.8750  4 I 2.94
50 I 0.1759 0.6677 0.0370  2 Ni 2.55-2.67
51 I 0.0370 0.1677 0.1759  2 Ni 2.55-2.67
52 I 0.4919 0.6677 0.1307  2 Ni 2.55-2.67
53 Au 0.3750 0.6250 0.2500  4 I 2.94
54 Au 0.8750 0.1250 0.2500  4 I 2.94
55 Ni 0.0000 0.0000 0.0000  6 I 2.67
56 Ni 0.0000 0.5000 0.0000  6 I 2.67
57 Au 0.8750 0.7500 0.1250  4 I 2.94
58 Au 0.2500 0.6250 0.8750  4 I 2.94
59 I 0.8693 0.0370 0.8612  2 Ni 2.55-2.67
60 Ni 0.2500 0.3750 0.6250  4 I 2.55
61 Au 0.3750 0.7500 0.6250  4 I 2.94
62 I 0.6388 0.6307 0.9630  2 Ni 2.55-2.67
63 Ni 0.5000 0.5000 0.5000  6 I 2.67
64 I 0.0081 0.6388 0.6759  2 Ni 2.55-2.67
65 Ni 0.7500 0.6250 0.3750  4 I 2.55
66 Ni 0.7500 0.1250 0.8750  4 I 2.55
67 Ni 0.3750 0.2500 0.1250  4 I 2.55
68 Ni 0.0000 0.0000 0.5000  6 I 2.67
69 I 0.9630 0.8323 0.8241  2 Ni 2.55-2.67
70 I 0.3241 0.4630 0.8323  2 Ni 2.55-2.67
71 Au 0.6250 0.3750 0.7500  4 I 2.94
72 Ni 0.0000 0.5000 0.5000  6 I 2.67
73 I 0.6677 0.1759 0.5370  2 Ni 2.55-2.67
74 I 0.0081 0.3693 0.8323  2 Ni 2.55-2.67
75 Ni 0.6250 0.7500 0.8750  4 I 2.55
76 I 0.1307 0.9630 0.1388  2 Ni 2.55-2.67
77 I 0.3612 0.9919 0.8241  2 Ni 2.55-2.67
78 Au 0.7500 0.3750 0.1250  4 I 2.94
79 I 0.6307 0.9919 0.6677  2 Ni 2.55-2.67
80 I 0.3241 0.8612 0.9919  2 Ni 2.55-2.67

***

Here is a relaxed DyBe2CuPd5 crystal from the Alexandria database. Energies are from PBE-GGA.

Calculated values
formation enthalpy at 0 K	-0.4801	eV/atom
V	14.89	Å³/atom
magnetization	0.0000	μB/atom

Cell: 4.3635 4.3635 7.0391 Å, 90.00 90.00 90.00°
Closest atoms and distances in Å follow each position.
Positions (direct):
1 Be 0.5000 0.5000 0.8411  5 Pd 2.22-2.40, 1 Be 2.24
2 Pd 0.0000 0.5000 0.7846  2 Be 2.22
3 Pd 0.5000 0.0000 0.7846  2 Be 2.22
4 Pd 0.5000 0.5000 0.5000  2 Be 2.40
5 Cu 0.0000 0.0000 0.0000  8 Pd 2.66
6 Pd 0.0000 0.5000 0.2154  2 Be 2.22
7 Pd 0.5000 0.0000 0.2154  2 Be 2.22
8 Be 0.5000 0.5000 0.1589  5 Pd 2.22-2.40, 1 Be 2.24
9 Dy 0.0000 0.0000 0.5000  12 Pd 2.96-3.09